VASP calculation (PBE-GGA) on crystalline Rb2BaLiSi at its relaxed geometry.

magnetic moment = 0.000 μB per atom
DFT total energy = -1.947 eV per atom
ρ = 1.905 g/cm³
DOS at the Fermi energy = 3.870 states/eV/cell

a b c (Å): 6.9660 6.9660 6.1656
angles (deg): 90.00 90.00 90.00
Sites, in units of the cell vectors:
Rb 0.0000 0.5000 0.0000
Rb 0.5000 0.0000 0.0000
Ba 0.0000 0.0000 0.5000
Li 0.5000 0.5000 0.5000
Si 0.0000 0.0000 0.0000